*P*
# TlTcAgS3

TlTcAgS3 after structural relaxation (PBE, OQMD).

a = 14.089 Å, b = 3.621 Å, c = 10.192 Å
α = 90.00°, β = 90.00°, γ = 90.00°
Sites, in units of the cell vectors:
Tl 0.242 0.250 0.058
Tl 0.258 0.750 0.558
Tl 0.742 0.250 0.442
Tl 0.758 0.750 0.942
Tc 0.011 0.250 0.332
Tc 0.489 0.750 0.832
Tc 0.511 0.250 0.168
Tc 0.989 0.750 0.668
Ag 0.041 0.750 0.090
Ag 0.459 0.250 0.590
Ag 0.541 0.750 0.410
Ag 0.959 0.250 0.910
S 0.072 0.250 0.562
S 0.096 0.750 0.844
S 0.125 0.750 0.299
S 0.375 0.250 0.799
S 0.404 0.250 0.344
S 0.428 0.750 0.062
S 0.572 0.250 0.938
S 0.596 0.750 0.656
S 0.625 0.750 0.201
S 0.875 0.250 0.701
S 0.904 0.250 0.156
S 0.928 0.750 0.438

Values from the calculation:
Volume ... 520.0 Å³/cell
Space group ... Pnma (62)


*Q*
# TlTcAgS3

TlTcAgS3 after structural relaxation (PBE, OQMD).

a = 8.396 Å, b = 8.396 Å, c = 9.442 Å
α = 90.00°, β = 90.00°, γ = 157.31°
Sites, in units of the cell vectors:
Tl 0.173 0.827 0.750
Tl 0.827 0.173 0.250
Tc 0.500 0.500 0.000
Tc 0.500 0.500 0.500
Ag 0.178 0.822 0.250
Ag 0.822 0.178 0.750
S 0.105 0.895 0.027
S 0.105 0.895 0.473
S 0.467 0.533 0.250
S 0.533 0.467 0.750
S 0.895 0.105 0.527
S 0.895 0.105 0.973

Values from the calculation:
Volume ... 256.8 Å³/cell
Space group ... Cmcm (63)


Which one sits at the bottom of the stability order? *Q* does.


*P*
# ZrTlAgTeS2

ZrTlAgTeS2 after structural relaxation (PBE, OQMD).

a = 8.337 Å, b = 3.899 Å, c = 10.125 Å
α = 90.00°, β = 109.82°, γ = 90.00°
Sites, in units of the cell vectors:
Zr 0.179 0.250 0.146
Zr 0.821 0.750 0.854
Tl 0.268 0.750 0.747
Tl 0.732 0.250 0.253
Ag 0.429 0.750 0.391
Ag 0.571 0.250 0.609
Te 0.207 0.250 0.443
Te 0.793 0.750 0.557
S 0.045 0.250 0.875
S 0.381 0.750 0.132
S 0.619 0.250 0.868
S 0.955 0.750 0.125

Values from the calculation:
Volume ... 309.6 Å³/cell
Space group ... P2_1/m (11)


*Q*
# ZrTlAgTeS2

ZrTlAgTeS2 after structural relaxation (PBE, OQMD).

a = 8.318 Å, b = 3.987 Å, c = 10.115 Å
α = 90.00°, β = 111.54°, γ = 90.00°
Sites, in units of the cell vectors:
Zr 0.175 0.250 0.160
Zr 0.825 0.750 0.840
Tl 0.223 0.750 0.690
Tl 0.777 0.250 0.310
Ag 0.425 0.750 0.393
Ag 0.575 0.250 0.607
Te 0.421 0.750 0.122
Te 0.579 0.250 0.878
S 0.036 0.250 0.873
S 0.236 0.250 0.424
S 0.764 0.750 0.576
S 0.964 0.750 0.127

Values from the calculation:
Volume ... 312.0 Å³/cell
Space group ... P2_1/m (11)


*R*
# ZrTlAgTeS2

ZrTlAgTeS2 after structural relaxation (PBE, OQMD).

a = 7.925 Å, b = 7.925 Å, c = 10.816 Å
α = 90.00°, β = 90.00°, γ = 151.87°
Sites, in units of the cell vectors:
Zr 0.000 0.000 0.000
Zr 0.000 0.000 0.500
Tl 0.222 0.778 0.750
Tl 0.778 0.222 0.250
Ag 0.459 0.541 0.250
Ag 0.541 0.459 0.750
Te 0.091 0.909 0.250
Te 0.909 0.091 0.750
S 0.389 0.611 0.044
S 0.389 0.611 0.456
S 0.611 0.389 0.544
S 0.611 0.389 0.956

Values from the calculation:
Volume ... 320.2 Å³/cell
Space group ... Cmcm (63)


Which one sits at the bottom of the stability order? *R* does.


*P*
# ZrTlAgS3

ZrTlAgS3 after structural relaxation (PBE, OQMD).

a = 11.969 Å, b = 3.804 Å, c = 12.202 Å
α = 90.00°, β = 90.00°, γ = 90.00°
Sites, in units of the cell vectors:
Zr 0.041 0.250 0.156
Zr 0.459 0.750 0.656
Zr 0.541 0.250 0.344
Zr 0.959 0.750 0.844
Tl 0.151 0.250 0.508
Tl 0.349 0.750 0.008
Tl 0.651 0.250 0.992
Tl 0.849 0.750 0.492
Ag 0.245 0.750 0.313
Ag 0.255 0.250 0.813
Ag 0.745 0.750 0.187
Ag 0.755 0.250 0.687
S 0.025 0.750 0.302
S 0.084 0.250 0.935
S 0.245 0.250 0.162
S 0.255 0.750 0.662
S 0.416 0.750 0.435
S 0.475 0.250 0.802
S 0.525 0.750 0.198
S 0.584 0.250 0.565
S 0.745 0.250 0.338
S 0.755 0.750 0.838
S 0.916 0.750 0.065
S 0.975 0.250 0.698

Values from the calculation:
Volume ... 555.5 Å³/cell
Space group ... Pnma (62)


*Q*
# ZrTlAgS3

ZrTlAgS3 after structural relaxation (PBE, OQMD).

a = 7.412 Å, b = 4.051 Å, c = 17.164 Å
α = 90.00°, β = 90.00°, γ = 90.00°
Sites, in units of the cell vectors:
Zr 0.244 0.250 0.041
Zr 0.256 0.750 0.541
Zr 0.744 0.250 0.459
Zr 0.756 0.750 0.959
Tl 0.122 0.250 0.812
Tl 0.378 0.750 0.312
Tl 0.622 0.250 0.688
Tl 0.878 0.750 0.188
Ag 0.038 0.250 0.326
Ag 0.462 0.750 0.826
Ag 0.538 0.250 0.174
Ag 0.962 0.750 0.674
S 0.011 0.250 0.573
S 0.124 0.750 0.958
S 0.187 0.250 0.186
S 0.313 0.750 0.686
S 0.376 0.250 0.458
S 0.489 0.750 0.073
S 0.511 0.250 0.927
S 0.624 0.750 0.542
S 0.687 0.250 0.314
S 0.813 0.750 0.814
S 0.876 0.250 0.042
S 0.989 0.750 0.427

Values from the calculation:
Volume ... 515.4 Å³/cell
Space group ... Pnma (62)


*R*
# ZrTlAgS3

ZrTlAgS3 after structural relaxation (PBE, OQMD).

a = 7.387 Å, b = 7.387 Å, c = 10.226 Å
α = 90.00°, β = 90.00°, γ = 150.01°
Sites, in units of the cell vectors:
Zr 0.000 0.000 0.000
Zr 0.000 0.000 0.500
Tl 0.267 0.733 0.750
Tl 0.733 0.267 0.250
Ag 0.437 0.563 0.250
Ag 0.563 0.437 0.750
S 0.058 0.942 0.250
S 0.376 0.624 0.025
S 0.376 0.624 0.475
S 0.624 0.376 0.525
S 0.624 0.376 0.975
S 0.942 0.058 0.750

Values from the calculation:
Volume ... 279.0 Å³/cell
Space group ... Cmcm (63)


*S*
# ZrTlAgS3

ZrTlAgS3 after structural relaxation (PBE, OQMD).

a = 7.985 Å, b = 3.830 Å, c = 9.932 Å
α = 90.00°, β = 109.69°, γ = 90.00°
Sites, in units of the cell vectors:
Zr 0.192 0.250 0.156
Zr 0.808 0.750 0.844
Tl 0.230 0.750 0.705
Tl 0.770 0.250 0.295
Ag 0.437 0.750 0.389
Ag 0.563 0.250 0.611
S 0.047 0.250 0.874
S 0.230 0.250 0.421
S 0.399 0.750 0.129
S 0.601 0.250 0.871
S 0.770 0.750 0.579
S 0.953 0.750 0.126

Values from the calculation:
Volume ... 286.0 Å³/cell
Space group ... P2_1/m (11)


Which one sits at the bottom of the stability order? *Q* does.


*P*
# Y2AgS3

Y2AgS3 after structural relaxation (PBE, OQMD).

a = 8.595 Å, b = 3.799 Å, c = 15.583 Å
α = 90.00°, β = 90.00°, γ = 90.00°
Sites, in units of the cell vectors:
Y 0.129 0.250 0.212
Y 0.167 0.250 0.943
Y 0.333 0.750 0.443
Y 0.371 0.750 0.712
Y 0.629 0.250 0.288
Y 0.667 0.250 0.557
Y 0.833 0.750 0.057
Y 0.871 0.750 0.788
Ag 0.055 0.250 0.567
Ag 0.445 0.750 0.067
Ag 0.555 0.250 0.933
Ag 0.945 0.750 0.433
S 0.116 0.250 0.765
S 0.129 0.250 0.387
S 0.151 0.750 0.076
S 0.349 0.250 0.576
S 0.371 0.750 0.887
S 0.384 0.750 0.265
S 0.616 0.250 0.735
S 0.629 0.250 0.113
S 0.651 0.750 0.424
S 0.849 0.250 0.924
S 0.871 0.750 0.613
S 0.884 0.750 0.235

Values from the calculation:
Volume ... 508.8 Å³/cell
Space group ... Pnma (62)


*Q*
# Y2AgS3

Y2AgS3 after structural relaxation (PBE, OQMD).

a = 10.182 Å, b = 3.840 Å, c = 13.032 Å
α = 90.00°, β = 90.00°, γ = 90.00°
Sites, in units of the cell vectors:
Y 0.023 0.250 0.245
Y 0.217 0.750 0.521
Y 0.283 0.250 0.021
Y 0.477 0.750 0.745
Y 0.523 0.250 0.255
Y 0.717 0.750 0.979
Y 0.783 0.250 0.479
Y 0.977 0.750 0.755
Ag 0.227 0.250 0.736
Ag 0.273 0.750 0.236
Ag 0.727 0.250 0.764
Ag 0.773 0.750 0.264
S 0.040 0.250 0.606
S 0.098 0.750 0.102
S 0.232 0.750 0.864
S 0.268 0.250 0.364
S 0.402 0.250 0.602
S 0.460 0.750 0.106
S 0.540 0.250 0.894
S 0.598 0.750 0.398
S 0.732 0.750 0.636
S 0.768 0.250 0.136
S 0.902 0.250 0.898
S 0.960 0.750 0.394

Values from the calculation:
Volume ... 509.6 Å³/cell
Space group ... Pnma (62)


Which one sits at the bottom of the stability order? *Q* does.